Record 1
# Dy2HoPuBi4

Crystalline Dy2HoPuBi4 at its relaxed geometry (PBE-GGA, the Alexandria database).

* density: 10.18 g/cm³
* DFT formation energy: -0.713 eV per atom

```
data_Dy2HoPuBi4
_symmetry_space_group_name_H-M 'P 1 2/m 1'
_symmetry_Int_Tables_number 10
_cell_length_a 7.775
_cell_length_b 4.491
_cell_length_c 7.776
_cell_angle_alpha 90.00
_cell_angle_beta 109.40
_cell_angle_gamma 90.00
loop_
_symmetry_equiv_pos_as_xyz
'x,y,z'
'-x,-y,-z'
'-x,y,-z'
'x,-y,z'
loop_
_atom_site_label
_atom_site_type_symbol
_atom_site_fract_x
_atom_site_fract_y
_atom_site_fract_z
Dy1 Dy 0.000 0.000 0.000
Dy2 Dy 0.500 0.500 0.000
Ho1 Ho 0.000 0.500 0.500
Pu1 Pu 0.500 0.000 0.500
Bi1 Bi 0.248 0.000 0.750
Bi2 Bi 0.248 0.500 0.248
```

***

Record 2
# SrMoRh2N

Crystalline SrMoRh2N at its relaxed geometry (PBE-GGA, the Alexandria database).

* density: 6.93 g/cm³
* E_form (uncorrected): 0.387 eV per atom

```
data_SrMoRh2N
_symmetry_space_group_name_H-M 'P 4/m m m'
_symmetry_Int_Tables_number 123
_symmetry_space_group_name_Hall '-P 4 2'
_cell_length_a 4.914
_cell_length_b 4.914
_cell_length_c 4.003
_cell_angle_alpha 90.00
_cell_angle_beta 90.00
_cell_angle_gamma 90.00
loop_
_atom_site_label
_atom_site_type_symbol
_atom_site_fract_x
_atom_site_fract_y
_atom_site_fract_z
Sr1 Sr 0.000 0.000 0.000
Mo1 Mo 0.500 0.500 0.500
Rh1 Rh 0.000 0.500 0.500
N1 N 0.500 0.500 0.000
```

***

In order of appearance, DOS at the Fermi energy = 17.32 4.68 states/eV/cell.